# PBE BaAl2Os, relaxed
# total DFT energy (no corrections): -21.1 eV for the cell shown
# formation energy from the elements: -0.5 eV per formula unit
data_BaAl2Os
_cell_length_a 3.209
_cell_length_b 3.209
_cell_length_c 8.104
_cell_angle_alpha 90.00
_cell_angle_beta 90.00
_cell_angle_gamma 90.00
_space_group_name_H-M_alt 'P 1'
_space_group_IT_number 1
_space_group_name_Hall 'P 1'
loop_
_atom_site_label
_atom_site_type_symbol
_atom_site_fract_x
_atom_site_fract_y
_atom_site_fract_z
Ba1 Ba 0.000 0.000 0.000
Al1 Al 0.500 0.500 0.334
Al2 Al 0.500 0.500 0.666
Os1 Os 0.000 0.000 0.500